Entry 1:
{
  "formula": "Tl4SbAs3Se8",
  "functional": "PBE",
  "state": "optimized geometry",
  "cell": [[3.801, 0.000, 0.000], [0.000, 5.701, 0.000], [0.000, 0.000, 20.384]],
  "species": ["Tl", "Tl", "Tl", "Tl", "Sb", "As", "As", "As", "Se", "Se", "Se", "Se", "Se", "Se", "Se", "Se"],
  "fractional_positions": [[0.000, 0.000, 0.000], [0.000, 0.000, 0.500], [0.000, 0.500, 0.245], [0.000, 0.500, 0.755], [0.500, 0.500, 0.500], [0.500, 0.000, 0.249], [0.500, 0.000, 0.751], [0.500, 0.500, 0.000], [0.000, 0.000, 0.153], [0.000, 0.000, 0.346], [0.000, 0.000, 0.654], [0.000, 0.000, 0.847], [0.000, 0.500, 0.095], [0.000, 0.500, 0.395], [0.000, 0.500, 0.605], [0.000, 0.500, 0.905]],
  "formation_energy_uncorrected_kj_per_mol_atoms": 1.1,
  "energy_ev_per_atom": -3.45,
  "total_magnetization_mub_per_cell": 0.0
}

***

Entry 2:
{
  "formula": "La2TlCl",
  "functional": "PBE",
  "state": "optimized geometry",
  "cell": [[0.000, 3.895, 3.895], [3.895, 0.000, 3.895], [3.895, 3.895, 0.000]],
  "species": ["La", "La", "Tl", "Cl"],
  "fractional_positions": [[0.250, 0.250, 0.250], [0.750, 0.750, 0.750], [0.000, 0.000, 0.000], [0.500, 0.500, 0.500]],
  "formation_energy_uncorrected_kj_per_mol_atoms": -76.4,
  "energy_ev_per_atom": -4.31,
  "total_magnetization_mub_per_cell": 0.0,
  "e_above_lowest_polymorph_mev_per_atom": 157
}

***

Entry 3:
{
  "formula": "TlCrIr",
  "functional": "PBE",
  "state": "optimized geometry",
  "cell": [[3.023, 0.000, 0.000], [-1.511, 2.618, 0.000], [0.000, 0.000, 6.686]],
  "species": ["Tl", "Cr", "Ir"],
  "fractional_positions": [[0.000, 0.000, 0.000], [0.667, 0.333, 0.358], [0.333, 0.667, 0.633]],
  "energy_ev_per_atom": -6.42,
  "total_magnetization_mub_per_cell": 2.9,
  "e_above_lowest_polymorph_mev_per_atom": 167,
  "ef_kj_per_mol_atoms": 50.9
}

***

Entry 4:
{
  "formula": "NiMoIr2",
  "functional": "PBE",
  "state": "optimized geometry",
  "cell": [[2.748, 0.000, 0.000], [0.000, 2.748, 0.000], [0.000, 0.000, 7.432]],
  "species": ["Ni", "Mo", "Ir", "Ir"],
  "fractional_positions": [[0.000, 0.000, 0.000], [0.000, 0.000, 0.500], [0.500, 0.500, 0.242], [0.500, 0.500, 0.758]],
  "energy_ev_per_atom": -8.70,
  "total_magnetization_mub_per_cell": 0.0,
  "e_above_lowest_polymorph_mev_per_atom": 150,
  "ef_kj_per_mol_atoms": -11.1
}